NdGa4Pd2Pt: optimized geometry, PBE.

a = 4.3220 Å, b = 4.3220 Å, c = 9.2508 Å
α = 76.49°, β = 76.49°, γ = 60.00°
Element x y z (fractional)
Nd 0.0000 0.0000 0.0000
Ga 0.3997 0.3997 0.8010
Ga 0.8683 0.8683 0.3951
Ga 0.1317 0.1317 0.6049
Ga 0.6003 0.6003 0.1990
Pd 0.7604 0.7604 0.7189
Pd 0.2396 0.2396 0.2811
Pt 0.5000 0.5000 0.5000

Computed properties:
Density   9.58 g/cm³
Magnetization   0.00 μB/cell
ΔE_f   -0.66 eV per atom
Space-group type   R-3m

BeAlRuAu: optimized geometry, PBE.

a = 3.1495 Å, b = 4.0587 Å, c = 4.1603 Å
α = 90.00°, β = 90.00°, γ = 90.00°
Element x y z (fractional)
Be 0.5000 0.5000 0.0000
Al 0.5000 0.0000 0.5000
Ru 0.0000 0.5000 0.5000
Au 0.0000 0.0000 0.0000

Computed properties:
Distance to the lowest polymorph of the same formula   0.00 kcal/mol of atoms
Density   10.43 g/cm³
Magnetization   0.00 μB/cell
ΔE_f   -0.39 eV per atom
Space-group type   Pmmm

CuTcMo2: optimized geometry, PBE.

a = 4.7246 Å, b = 4.7246 Å, c = 4.7246 Å
α = 131.18°, β = 131.18°, γ = 71.53°
Element x y z (fractional)
Cu 0.7500 0.2500 0.5000
Mo 0.0000 0.0000 0.0000
Mo 0.5000 0.5000 0.0000
Tc 0.2500 0.7500 0.5000

Computed properties:
Distance to the lowest polymorph of the same formula   0.81 kcal/mol of atoms
Density   10.04 g/cm³
Magnetization   0.00 μB/cell
ΔE_f   0.18 eV per atom
Space-group type   I4/mmm

EuTmZnGe: optimized geometry, PBE.

a = 5.0950 Å, b = 5.0950 Å, c = 5.0950 Å
α = 60.00°, β = 60.00°, γ = 60.00°
Each line ends with the local moment (μB).
Element x y z (fractional)
Eu 0.7500 0.7500 0.7500  6.82
Ge 0.0000 0.0000 0.0000  -0.04
Tm 0.2500 0.2500 0.2500  0.18
Zn 0.5000 0.5000 0.5000  0.03

Computed properties:
Density   8.15 g/cm³
Magnetization   7.34 μB/cell
ΔE_f   -0.46 eV per atom
Space-group type   F-43m

Rb2AlP: optimized geometry, PBE.

a = 4.8720 Å, b = 4.8720 Å, c = 12.1973 Å
α = 78.48°, β = 78.48°, γ = 90.00°
Element x y z (fractional)
P 0.0000 0.0000 0.0000
P 0.7500 0.2500 0.5000
Al 0.5000 0.5000 0.0000
Al 0.2500 0.7500 0.5000
Rb 0.6350 0.1250 0.2500
Rb 0.1150 0.6250 0.2500
Rb 0.3750 0.3650 0.7500
Rb 0.8750 0.8850 0.7500

Computed properties:
Distance to the lowest polymorph of the same formula   5.22 kcal/mol of atoms
Density   2.74 g/cm³
Magnetization   0.62 μB/cell
ΔE_f   0.63 eV per atom
Space-group type   I-42d

La2Zn2Os: optimized geometry, PBE.

a = 6.9610 Å, b = 6.9610 Å, c = 4.6346 Å
α = 90.00°, β = 90.00°, γ = 90.00°
Element x y z (fractional)
Zn 0.3686 0.8686 0.0000
Zn 0.8686 0.6314 0.0000
Zn 0.6314 0.1314 0.0000
Zn 0.1314 0.3686 0.0000
Os 0.0000 0.0000 0.0000
Os 0.5000 0.5000 0.0000
La 0.1828 0.6828 0.5000
La 0.6828 0.8172 0.5000
La 0.8172 0.3172 0.5000
La 0.3172 0.1828 0.5000

Computed properties:
Distance to the lowest polymorph of the same formula   6.07 kcal/mol of atoms
Density   8.86 g/cm³
Magnetization   0.00 μB/cell
ΔE_f   0.03 eV per atom
Space-group type   P4/mbm

| no. | N(E_F) (states/eV/f.u.) |
| --- | --- |
| 1 | 2.80 |
| 2 | 0.33 |
| 3 | 2.18 |
| 4 | 2.80 |
| 5 | 2.90 |
| 6 | 6.10 |